## A
Compound: NaAcAu
Source: the Alexandria database
Functional: GGA-PBE
Structure: optimized geometry

The magnetization comes out at 0.00 μB per formula unit.

It has space group F-43m (No. 216), with a = 7.389 Å, b = 7.389 Å, c = 7.389 Å, α = 90.00°, β = 90.00° and γ = 90.00°. The inequivalent atoms are Na at (0.000, 0.000, 0.000), Ac at (0.000, 0.000, 0.500) and Au at (0.250, 0.250, 0.750).

## B
Compound: NaAcAu
Source: the Alexandria database
Functional: GGA-PBE
Structure: optimized geometry

The magnetization comes out at 0.00 μB per formula unit.

It has space group C2/m (No. 12), with a = 6.313 Å, b = 6.313 Å, c = 10.876 Å, α = 90.00°, β = 90.06° and γ = 90.00°. The inequivalent atoms are Na at (0.249, 0.000, 0.080), Ac at (0.249, 0.500, 0.352) and Au at (0.250, 0.000, 0.351).

## C
Compound: NaAcAu
Source: the Alexandria database
Functional: GGA-PBE
Structure: optimized geometry

The magnetization comes out at 0.02 μB per formula unit.

It has space group P3m1 (No. 156), with a = 4.9943 Å, b = 4.9943 Å, c = 4.0892 Å, α = 90.00°, β = 90.00° and γ = 120.00°. The inequivalent atoms are Na at (0.0000, 0.0000, 0.0000), Ac at (0.3333, 0.6667, 0.4991) and Au at (0.6667, 0.3333, 0.9957).

## D
Compound: NaAcAu
Source: the Alexandria database
Functional: GGA-PBE
Structure: optimized geometry

The magnetization comes out at 0.00 μB per formula unit.

It has space group I4mm (No. 107), with a = 3.966 Å, b = 3.966 Å, c = 12.124 Å, α = 90.00°, β = 90.00° and γ = 90.00°. The inequivalent atoms are Na at (0.000, 0.000, 0.000), Ac at (0.000, 0.000, 0.277) and Au at (0.000, 0.000, 0.649).

Preferred: B; penalty for the next structure: 89 meV per atom.

## A
Compound: NaAcAu4
Source: the Alexandria database
Functional: GGA-PBE
Structure: optimized geometry

The magnetization comes out at 0.00 μB per formula unit.

It has space group F-43m (No. 216), with a = 8.148 Å, b = 8.148 Å, c = 8.148 Å, α = 90.00°, β = 90.00° and γ = 90.00°. The inequivalent atoms are Na at (0.000, 0.000, 0.000), Ac at (0.250, 0.250, 0.250) and Au at (0.126, 0.126, 0.626).

## B
Compound: NaAcAu4
Source: the Alexandria database
Functional: GGA-PBE
Structure: optimized geometry

The magnetization comes out at 0.00 μB per formula unit.

It has space group C2/m (No. 12), with a = 9.271 Å, b = 5.587 Å, c = 5.738 Å, α = 90.00°, β = 95.95° and γ = 90.00°. The inequivalent atoms are Na at (0.000, 0.000, 0.000), Ac at (0.000, 0.500, 0.500), Au at (0.159, 0.000, 0.541) and Au at (0.161, 0.500, 0.025).

Preferred: A; penalty for the next structure: 35 meV per atom.